Material: CsSr2SbBr8
Method: DFT, PBE
State: relaxed

Cell lengths 7.022, 7.146, 9.719 Å; angles 89.96, 89.91, 89.82 degrees
Space group P-1 (No. 2)
Unique sites:
Cs1 0.000 0.000 0.000 [1 per cell]
Sr1 0.500 0.500 0.252 [2 per cell]
Sb1 0.000 0.000 0.500 [1 per cell]
Br1 0.243 0.848 0.702 [2 per cell]
Br2 0.244 0.849 0.297 [2 per cell]
Br3 0.245 0.331 0.500 [2 per cell]
Br4 0.261 0.409 0.000 [2 per cell]

Output
Electronic total energy ... -3.323 eV/atom
ΔE_f (raw) ... -146 kJ/mol of atoms


Material: CsTaSb2Br
Method: DFT, PBE
State: relaxed

Cell lengths 5.628, 5.628, 6.022 Å; angles 90.00, 90.00, 90.00 degrees
Space group P4/mmm (No. 123)
Unique sites:
Cs1 0.000 0.000 0.000 [1 per cell]
Ta1 0.500 0.500 0.000 [1 per cell]
Sb1 0.000 0.500 0.500 [2 per cell]
Br1 0.000 0.000 0.500 [1 per cell]

Output
Electronic total energy ... -3.183 eV/atom
ΔE_f (raw) ... 130 kJ/mol of atoms


Material: Cs2TaSbBr6
Method: DFT, PBE
State: relaxed

Cell lengths 7.882, 7.882, 12.898 Å; angles 90.00, 90.00, 90.00 degrees
Space group I4/mmm (No. 139)
Unique sites:
Cs1 0.000 0.500 0.250 [4 per cell]
Ta1 0.000 0.000 0.000 [2 per cell]
Sb1 0.000 0.000 0.500 [2 per cell]
Br1 0.000 0.000 0.203 [4 per cell]
Br2 0.235 0.235 0.000 [8 per cell]

Output
Electronic total energy ... -3.636 eV/atom
ΔE_f (raw) ... -83 kJ/mol of atoms


Material: CsSb2TeBr
Method: DFT, PBE
State: relaxed

Cell lengths 5.733, 5.733, 6.144 Å; angles 90.00, 90.00, 90.00 degrees
Space group P4/mmm (No. 123)
Unique sites:
Cs1 0.000 0.000 0.000 [1 per cell]
Sb1 0.000 0.500 0.500 [2 per cell]
Te1 0.500 0.500 0.000 [1 per cell]
Br1 0.500 0.500 0.500 [1 per cell]

Output
Electronic total energy ... -2.445 eV/atom
ΔE_f (raw) ... 33 kJ/mol of atoms


Question: What is the electronic total energy in the first record?
Answer: -3.323 eV/atom


Question: The lowest electronic total energy belongs to which entry?
Answer: Cs2TaSbBr6


Question: The lowest electronic total energy belongs to which entry?
Answer: Cs2TaSbBr6